Entry 1:
Here is a relaxed Rb3Ag2GeI9 crystal from Alexandria. Energies are from PBE.

a b c (Å): 8.2680 8.2680 10.2317
angles (deg): 90.00 90.00 120.00
With the nearest neighbours (Å) after each atom.
Fractional coordinates of all 15 atoms:
I 0.1656 0.3311 0.3366  1 Ge 2.90, 1 Ag 2.98
I 0.3311 0.1656 0.6634  1 Ge 2.90, 1 Ag 2.98
I 0.0000 0.5000 0.0000  2 Ag 2.92
I 0.6689 0.8344 0.3366  1 Ge 2.90, 1 Ag 2.98
I 0.8344 0.1656 0.6634  1 Ge 2.90, 1 Ag 2.98
I 0.8344 0.6689 0.6634  1 Ge 2.90, 1 Ag 2.98
I 0.5000 0.0000 0.0000  2 Ag 2.92
I 0.1656 0.8344 0.3366  1 Ge 2.90, 1 Ag 2.98
I 0.5000 0.5000 0.0000  2 Ag 2.92
Rb 0.0000 0.0000 0.0000  12 I 4.13-4.18
Rb 0.3333 0.6667 0.6725  12 I 4.11-4.19
Rb 0.6667 0.3333 0.3275  12 I 4.11-4.19
Ag 0.3333 0.6667 0.1641  6 I 2.92-2.98
Ag 0.6667 0.3333 0.8359  6 I 2.92-2.98
Ge 0.0000 0.0000 0.5000  6 I 2.90

## Properties
For the total energy, the calculation gives -37.46 eV per cell. The calculation puts the theoretical density at 4.62 g/cm3. The uncorrected formation energy comes out at -0.686 eV per atom. Its space group is No. 164.

Entry 2:
Here is a relaxed Rb2AgGeI6 crystal from Alexandria. Energies are from PBE.

a b c (Å): 8.2962 8.2962 8.3065
angles (deg): 60.04 60.04 90.00
With the nearest neighbours (Å) after each atom.
Fractional coordinates of all 10 atoms:
I 0.2530 0.2530 0.0000  1 Ge 2.90, 1 Ag 2.97
I 0.7470 0.2530 0.0000  1 Ge 2.90, 1 Ag 2.97
I 0.2530 0.7470 0.0000  1 Ge 2.90, 1 Ag 2.97
I 0.7467 0.7467 0.5067  1 Ge 2.90, 1 Ag 2.98
I 0.2533 0.2533 0.4933  1 Ge 2.90, 1 Ag 2.98
I 0.7470 0.7470 0.0000  1 Ge 2.90, 1 Ag 2.97
Ag 0.0000 0.0000 0.0000  6 I 2.97-2.98
Rb 0.7500 0.2500 0.5000  12 I 4.15
Rb 0.2500 0.7500 0.5000  12 I 4.15
Ge 0.5000 0.5000 0.0000  6 I 2.90

## Properties
For the total energy, the calculation gives -25.85 eV per cell. The calculation puts the theoretical density at 4.57 g/cm3. The uncorrected formation energy comes out at -0.714 eV per atom. Its space group is No. 139.

Entry 3:
Here is a relaxed Rb3Ag2GeI6 crystal from Alexandria. Energies are from PBE.

a b c (Å): 8.9721 8.9721 9.0350
angles (deg): 90.00 90.00 120.00
With the nearest neighbours (Å) after each atom.
Fractional coordinates of all 12 atoms:
Rb 0.0000 0.0000 0.0000  6 I 3.67
Rb 0.6667 0.3333 0.3839  1 Ag 3.65, 3 I 3.93
Rb 0.3333 0.6667 0.6161  1 Ag 3.65, 3 I 3.93
I 0.8401 0.6802 0.7010  1 Ag 2.81, 1 Ge 3.08
I 0.6802 0.8401 0.2990  1 Ag 2.81, 1 Ge 3.08
I 0.1599 0.8401 0.2990  1 Ag 2.81, 1 Ge 3.08
I 0.8401 0.1599 0.7010  1 Ag 2.81, 1 Ge 3.08
I 0.1599 0.3198 0.2990  1 Ag 2.81, 1 Ge 3.08
I 0.3198 0.1599 0.7010  1 Ag 2.81, 1 Ge 3.08
Ag 0.3333 0.6667 0.2122  3 I 2.81
Ag 0.6667 0.3333 0.7878  3 I 2.81
Ge 0.0000 0.0000 0.5000  6 I 3.08

## Properties
For the total energy, the calculation gives -30.55 eV per cell. The calculation puts the theoretical density at 3.44 g/cm3. The uncorrected formation energy comes out at -0.669 eV per atom. Its space group is No. 164.

Entry 4:
Here is a relaxed Rb3AgGe2I9 crystal from Alexandria. Energies are from PBE.

a b c (Å): 8.3507 8.3507 10.2188
angles (deg): 90.00 90.00 120.00
With the nearest neighbours (Å) after each atom.
Fractional coordinates of all 15 atoms:
I 0.6643 0.8322 0.3319  1 Ge 2.89, 1 Ag 2.97
I 0.5000 0.5000 0.0000  2 Ge 3.00
I 0.5000 0.0000 0.0000  2 Ge 3.00
I 0.8322 0.1678 0.6681  1 Ge 2.89, 1 Ag 2.97
I 0.1678 0.3357 0.3319  1 Ge 2.89, 1 Ag 2.97
I 0.1678 0.8322 0.3319  1 Ge 2.89, 1 Ag 2.97
I 0.0000 0.5000 0.0000  2 Ge 3.00
I 0.8322 0.6643 0.6681  1 Ge 2.89, 1 Ag 2.97
I 0.3357 0.1678 0.6681  1 Ge 2.89, 1 Ag 2.97
Rb 0.6667 0.3333 0.3331  12 I 4.17-4.18
Rb 0.3333 0.6667 0.6669  12 I 4.17-4.18
Rb 0.0000 0.0000 0.0000  12 I 4.17-4.18
Ge 0.6667 0.3333 0.8258  6 I 2.89-3.00
Ge 0.3333 0.6667 0.1742  6 I 2.89-3.00
Ag 0.0000 0.0000 0.5000  6 I 2.97

## Properties
For the total energy, the calculation gives -39.88 eV per cell. The calculation puts the theoretical density at 4.44 g/cm3. The uncorrected formation energy comes out at -0.730 eV per atom. Its space group is No. 164.

Copy entry 1 word for word.
Here is a relaxed Rb3Ag2GeI9 crystal from Alexandria. Energies are from PBE.

a b c (Å): 8.2680 8.2680 10.2317
angles (deg): 90.00 90.00 120.00
With the nearest neighbours (Å) after each atom.
Fractional coordinates of all 15 atoms:
I 0.1656 0.3311 0.3366  1 Ge 2.90, 1 Ag 2.98
I 0.3311 0.1656 0.6634  1 Ge 2.90, 1 Ag 2.98
I 0.0000 0.5000 0.0000  2 Ag 2.92
I 0.6689 0.8344 0.3366  1 Ge 2.90, 1 Ag 2.98
I 0.8344 0.1656 0.6634  1 Ge 2.90, 1 Ag 2.98
I 0.8344 0.6689 0.6634  1 Ge 2.90, 1 Ag 2.98
I 0.5000 0.0000 0.0000  2 Ag 2.92
I 0.1656 0.8344 0.3366  1 Ge 2.90, 1 Ag 2.98
I 0.5000 0.5000 0.0000  2 Ag 2.92
Rb 0.0000 0.0000 0.0000  12 I 4.13-4.18
Rb 0.3333 0.6667 0.6725  12 I 4.11-4.19
Rb 0.6667 0.3333 0.3275  12 I 4.11-4.19
Ag 0.3333 0.6667 0.1641  6 I 2.92-2.98
Ag 0.6667 0.3333 0.8359  6 I 2.92-2.98
Ge 0.0000 0.0000 0.5000  6 I 2.90

## Properties
For the total energy, the calculation gives -37.46 eV per cell. The calculation puts the theoretical density at 4.62 g/cm3. The uncorrected formation energy comes out at -0.686 eV per atom. Its space group is No. 164.